A geometry-optimized HoTlCdTe3 structure, computed with PBE.

Geometry as CIF:
```
data_HoTlCdTe3
_cell_length_a 9.847
_cell_length_b 9.847
_cell_length_c 9.824
_cell_angle_alpha 103.10
_cell_angle_beta 103.10
_cell_angle_gamma 25.94
_symmetry_space_group_name_H-M 'P 1'
_symmetry_Int_Tables_number 1
loop_
_symmetry_equiv_pos_as_xyz
'x,y,z'
loop_
_atom_site_label
_atom_site_type_symbol
_atom_site_fract_x
_atom_site_fract_y
_atom_site_fract_z
_atom_site_occupancy
Te1 Te 0.500 0.500 0.500 1
Te2 Te 0.000 0.000 0.000 1
Te3 Te 0.326 0.326 0.698 1
Te4 Te 0.663 0.663 0.864 1
Te5 Te 0.337 0.337 0.136 1
Te6 Te 0.674 0.674 0.302 1
Ho1 Ho 0.175 0.175 0.087 1
Ho2 Ho 0.825 0.825 0.913 1
Tl1 Tl 0.137 0.137 0.571 1
Tl2 Tl 0.863 0.863 0.429 1
Cd1 Cd 0.520 0.520 0.217 1
Cd2 Cd 0.480 0.480 0.783 1
```

Computed properties:
* distance to the lowest polymorph of the same formula: 68 meV/atom
* magnetic moment: 0.01 μB per formula unit
* calculated total energy: -43.44 eV per cell
* crystal system: monoclinic

***

A geometry-optimized KLaPdSe4 structure, computed with PBE.

Geometry as CIF:
```
data_KLaPdSe4
_cell_length_a 5.919
_cell_length_b 7.357
_cell_length_c 9.612
_cell_angle_alpha 73.59
_cell_angle_beta 90.00
_cell_angle_gamma 89.99
_symmetry_space_group_name_H-M 'P 1'
_symmetry_Int_Tables_number 1
loop_
_symmetry_equiv_pos_as_xyz
'x,y,z'
loop_
_atom_site_label
_atom_site_type_symbol
_atom_site_fract_x
_atom_site_fract_y
_atom_site_fract_z
_atom_site_occupancy
Se1 Se 0.750 0.935 0.740 1
Se2 Se 0.321 0.002 0.716 1
Se3 Se 0.047 0.394 0.436 1
Se4 Se 0.250 0.065 0.260 1
Se5 Se 0.547 0.606 0.564 1
Se6 Se 0.821 0.998 0.284 1
Se7 Se 0.516 0.551 0.162 1
Se8 Se 0.016 0.449 0.838 1
K1 K 0.018 0.737 0.059 1
K2 K 0.518 0.263 0.941 1
La1 La 0.048 0.737 0.556 1
La2 La 0.548 0.263 0.444 1
Pd1 Pd 0.477 0.775 0.306 1
Pd2 Pd 0.977 0.225 0.694 1
```

Computed properties:
* magnetic moment: 0.03 μB per formula unit
* calculated total energy: -63.98 eV per cell
* crystal system: monoclinic

***

A geometry-optimized NdZn2 structure, computed with PBE.

Geometry as CIF:
```
data_NdZn2
_cell_length_a 5.055
_cell_length_b 10.874
_cell_length_c 4.500
_cell_angle_alpha 90.00
_cell_angle_beta 90.00
_cell_angle_gamma 90.00
_symmetry_space_group_name_H-M 'P 1'
_symmetry_Int_Tables_number 1
loop_
_symmetry_equiv_pos_as_xyz
'x,y,z'
loop_
_atom_site_label
_atom_site_type_symbol
_atom_site_fract_x
_atom_site_fract_y
_atom_site_fract_z
_atom_site_occupancy
Nd1 Nd 0.438 0.500 0.000 1
Nd2 Nd 0.396 0.000 0.500 1
Nd3 Nd 0.896 0.500 0.500 1
Nd4 Nd 0.938 0.000 0.000 1
Zn1 Zn 0.821 0.801 0.500 1
Zn2 Zn 0.012 0.301 0.000 1
Zn3 Zn 0.321 0.699 0.500 1
Zn4 Zn 0.512 0.199 0.000 1
Zn5 Zn 0.012 0.699 0.000 1
Zn6 Zn 0.512 0.801 0.000 1
Zn7 Zn 0.821 0.199 0.500 1
Zn8 Zn 0.321 0.301 0.500 1
```

Computed properties:
* magnetic moment: 0.00 μB per formula unit
* calculated total energy: -31.68 eV per cell
* crystal system: orthorhombic
* formation enthalpy at 0 K: -0.63 eV per formula unit

***

A geometry-optimized WCl6 structure, computed with PBE.

Geometry as CIF:
```
data_WCl6
_cell_length_a 10.601
_cell_length_b 10.601
_cell_length_c 5.768
_cell_angle_alpha 90.00
_cell_angle_beta 90.00
_cell_angle_gamma 120.00
_symmetry_space_group_name_H-M 'P 1'
_symmetry_Int_Tables_number 1
loop_
_symmetry_equiv_pos_as_xyz
'x,y,z'
loop_
_atom_site_label
_atom_site_type_symbol
_atom_site_fract_x
_atom_site_fract_y
_atom_site_fract_z
_atom_site_occupancy
W1 W 0.333 0.667 0.478 1
W2 W 0.667 0.333 0.522 1
W3 W 0.000 0.000 0.000 1
Cl1 Cl 0.769 0.538 0.291 1
Cl2 Cl 0.897 0.795 0.770 1
Cl3 Cl 0.231 0.462 0.709 1
Cl4 Cl 0.871 0.436 0.753 1
Cl5 Cl 0.564 0.436 0.753 1
Cl6 Cl 0.205 0.103 0.770 1
Cl7 Cl 0.103 0.205 0.230 1
Cl8 Cl 0.897 0.103 0.770 1
Cl9 Cl 0.564 0.129 0.753 1
Cl10 Cl 0.462 0.231 0.291 1
Cl11 Cl 0.769 0.231 0.291 1
Cl12 Cl 0.538 0.769 0.709 1
Cl13 Cl 0.103 0.897 0.230 1
Cl14 Cl 0.436 0.564 0.247 1
Cl15 Cl 0.129 0.564 0.247 1
Cl16 Cl 0.795 0.897 0.230 1
Cl17 Cl 0.231 0.769 0.709 1
Cl18 Cl 0.436 0.871 0.247 1
```

Computed properties:
* distance to the lowest polymorph of the same formula: 4 meV/atom
* magnetic moment: 0.00 μB per formula unit
* calculated total energy: -89.62 eV per cell
* crystal system: trigonal

***

A geometry-optimized ZnIn2Ge2 structure, computed with PBE.

Geometry as CIF:
```
data_ZnIn2Ge2
_cell_length_a 6.277
_cell_length_b 6.277
_cell_length_c 6.277
_cell_angle_alpha 134.07
_cell_angle_beta 134.07
_cell_angle_gamma 66.97
_symmetry_space_group_name_H-M 'P 1'
_symmetry_Int_Tables_number 1
loop_
_symmetry_equiv_pos_as_xyz
'x,y,z'
loop_
_atom_site_label
_atom_site_type_symbol
_atom_site_fract_x
_atom_site_fract_y
_atom_site_fract_z
_atom_site_occupancy
In1 In 0.250 0.750 0.500 1
In2 In 0.750 0.250 0.500 1
Ge1 Ge 0.384 0.384 0.000 1
Ge2 Ge 0.616 0.616 0.000 1
Zn1 Zn 0.000 0.000 0.000 1
```

Computed properties:
* calculated total energy: -14.69 eV per cell
* crystal system: tetragonal

***

A geometry-optimized Y2BAu structure, computed with PBE.

Geometry as CIF:
```
data_Y2BAu
_cell_length_a 3.880
_cell_length_b 3.880
_cell_length_c 13.947
_cell_angle_alpha 90.00
_cell_angle_beta 90.00
_cell_angle_gamma 120.00
_symmetry_space_group_name_H-M 'P 1'
_symmetry_Int_Tables_number 1
loop_
_symmetry_equiv_pos_as_xyz
'x,y,z'
loop_
_atom_site_label
_atom_site_type_symbol
_atom_site_fract_x
_atom_site_fract_y
_atom_site_fract_z
_atom_site_occupancy
Y1 Y 0.667 0.333 0.901 1
Y2 Y 0.333 0.667 0.401 1
Y3 Y 0.667 0.333 0.599 1
Y4 Y 0.333 0.667 0.099 1
Au1 Au 0.667 0.333 0.250 1
Au2 Au 0.333 0.667 0.750 1
B1 B 0.000 0.000 0.000 1
B2 B 0.000 0.000 0.500 1
```

Computed properties:
* magnetic moment: 0.31 μB per formula unit
* calculated total energy: -48.31 eV per cell
* crystal system: hexagonal

***

Question: Look up the calculated total energy of the fifth one.
Answer: -14.69 eV per cell

***

Question: Which value of calculated total energy does entry 5 give?
Answer: -14.69 eV per cell

***

Question: The lowest calculated total energy belongs to which entry?
Answer: WCl6

***

Repeat the fourth record exactly.
A geometry-optimized WCl6 structure, computed with PBE.

Geometry as CIF:
```
data_WCl6
_cell_length_a 10.601
_cell_length_b 10.601
_cell_length_c 5.768
_cell_angle_alpha 90.00
_cell_angle_beta 90.00
_cell_angle_gamma 120.00
_symmetry_space_group_name_H-M 'P 1'
_symmetry_Int_Tables_number 1
loop_
_symmetry_equiv_pos_as_xyz
'x,y,z'
loop_
_atom_site_label
_atom_site_type_symbol
_atom_site_fract_x
_atom_site_fract_y
_atom_site_fract_z
_atom_site_occupancy
W1 W 0.333 0.667 0.478 1
W2 W 0.667 0.333 0.522 1
W3 W 0.000 0.000 0.000 1
Cl1 Cl 0.769 0.538 0.291 1
Cl2 Cl 0.897 0.795 0.770 1
Cl3 Cl 0.231 0.462 0.709 1
Cl4 Cl 0.871 0.436 0.753 1
Cl5 Cl 0.564 0.436 0.753 1
Cl6 Cl 0.205 0.103 0.770 1
Cl7 Cl 0.103 0.205 0.230 1
Cl8 Cl 0.897 0.103 0.770 1
Cl9 Cl 0.564 0.129 0.753 1
Cl10 Cl 0.462 0.231 0.291 1
Cl11 Cl 0.769 0.231 0.291 1
Cl12 Cl 0.538 0.769 0.709 1
Cl13 Cl 0.103 0.897 0.230 1
Cl14 Cl 0.436 0.564 0.247 1
Cl15 Cl 0.129 0.564 0.247 1
Cl16 Cl 0.795 0.897 0.230 1
Cl17 Cl 0.231 0.769 0.709 1
Cl18 Cl 0.436 0.871 0.247 1
```

Computed properties:
* distance to the lowest polymorph of the same formula: 4 meV/atom
* magnetic moment: 0.00 μB per formula unit
* calculated total energy: -89.62 eV per cell
* crystal system: trigonal